A plane-wave DFT calculation with PBE-GGA was carried out for crystalline Mg2ZrTaTe at its relaxed geometry.

Structure (extended XYZ):
```
5
Lattice="5.2676 0.0000 0.0000 0.0000 5.2623 0.0000 0.0000 0.0000 5.2676" Properties=species:S:1:pos:R:3 pbc="T T T"
Mg 0.0000 0.0000 2.6338
Mg 2.6338 0.0000 0.0000
Te 0.0000 2.6312 0.0000
Zr 0.0000 0.0000 0.0000
Ta 2.6338 2.6312 2.6338
```

Output
**V**: 146.0 Å³/cell
**Symmetry**: P4/mmm, No. 123
**Formation energy from raw total energies**: 1516.5 meV/atom

=====

A plane-wave DFT calculation with PBE-GGA was carried out for crystalline Th2MgTa at its relaxed geometry.

Structure (extended XYZ):
```
4
Lattice="-1.9716 2.0864 1.5061 -2.5421 -1.0997 1.6843 5.2610 -0.3356 10.8409" Properties=species:S:1:pos:R:3 pbc="T T T"
Mg 0.3736 0.3256 7.0156
Th 3.5760 -0.1701 8.4058
Th -2.8288 0.8212 5.6255
Ta 0.0000 0.0000 0.0000
```

Output
**Formation enthalpy at 0 K**: 2.3 eV per formula unit
**V**: 108.4 Å³/cell
**Symmetry**: R-3m, No. 166

=====

A plane-wave DFT calculation with PBE-GGA was carried out for crystalline MgTa3Ti at its relaxed geometry.

Structure (extended XYZ):
```
5
Lattice="4.7249 0.0000 0.0000 0.0000 4.7249 0.0000 0.0000 0.0000 4.7249" Properties=species:S:1:pos:R:3 pbc="T T T"
Mg 0.0000 0.0000 0.0000
Ti 2.3624 2.3624 2.3624
Ta 0.0000 2.3624 0.0000
Ta 0.0000 0.0000 2.3624
Ta 2.3624 0.0000 0.0000
```

Output
**Formation enthalpy at 0 K**: 9.2 eV per formula unit
**Relative energy among the computed polymorphs**: 535 meV per atom
**V**: 105.5 Å³/cell
**Symmetry**: Pm-3m, No. 221

=====

A plane-wave DFT calculation with PBE-GGA was carried out for crystalline MgTaTi2 at its relaxed geometry.

Structure (extended XYZ):
```
4
Lattice="-2.1829 0.0393 -3.3897 3.2926 -1.5300 -2.1381 -1.3071 -3.9257 0.7962" Properties=species:S:1:pos:R:3 pbc="T T T"
Mg -0.0987 -2.7082 -2.3658
Ti -0.6535 -1.9628 0.3981
Ti 1.6463 -0.7650 -1.0691
Ta -1.0915 0.0196 -1.6949
```

Output
**Formation enthalpy at 0 K**: 0.7 eV per formula unit
**V**: 71.6 Å³/cell
**Symmetry**: P4/mmm, No. 123

=====

A plane-wave DFT calculation with PBE-GGA was carried out for crystalline MgTaTi at its relaxed geometry.

Structure (extended XYZ):
```
3
Lattice="3.0073 0.0000 0.0000 -1.5037 2.6044 0.0000 0.0000 0.0000 7.3286" Properties=species:S:1:pos:R:3 pbc="T T T"
Mg 0.0000 0.0000 7.3257
Ti 1.5037 0.8681 2.5496
Ta 0.0000 1.7363 4.7820
```

Output
**Formation enthalpy at 0 K**: 0.6 eV per formula unit
**Relative energy among the computed polymorphs**: 147 meV per atom
**V**: 57.4 Å³/cell
**Symmetry**: P3m1, No. 156

=====

A plane-wave DFT calculation with PBE-GGA was carried out for crystalline Mg3TaTi at its relaxed geometry.

Structure (extended XYZ):
```
5
Lattice="-4.2636 2.0901 -1.3393 0.2311 -2.3160 -4.3501 -2.4716 -3.8221 1.9036" Properties=species:S:1:pos:R:3 pbc="T T T"
Mg 0.1156 -1.1580 -2.1750
Mg -1.2358 -1.9110 0.9518
Mg -2.1318 1.0450 -0.6696
Ti 0.0000 0.0000 0.0000
Ta -3.2521 -2.0240 -1.8929
```

Output
**Formation enthalpy at 0 K**: 7.9 eV per formula unit
**Relative energy among the computed polymorphs**: 0 meV per atom
**V**: 120.1 Å³/cell
**Symmetry**: Pm-3m, No. 221

=====

A plane-wave DFT calculation with PBE-GGA was carried out for crystalline MgTaTi2 at its relaxed geometry.

Structure (extended XYZ):
```
8
Lattice="3.9470 0.0000 0.0000 0.0000 3.9470 0.0000 1.9735 1.9735 9.7051" Properties=species:S:1:pos:R:3 pbc="T T T"
Mg 1.9735 1.9735 0.0000
Mg 1.9735 3.9470 4.8526
Ti 3.0202 0.9867 2.4263
Ti 0.9268 2.9602 2.4263
Ti 2.9602 2.9003 7.2788
Ti 4.9337 4.9937 7.2788
Ta 0.0000 0.0000 0.0000
Ta 3.9470 1.9735 4.8526
```

Output
**Formation enthalpy at 0 K**: 2.7 eV per formula unit
**V**: 151.2 Å³/cell
**Symmetry**: I-42d, No. 122

=====

A plane-wave DFT calculation with PBE-GGA was carried out for crystalline MgTa2Ti2 at its relaxed geometry.

Structure (extended XYZ):
```
10
Lattice="-1.0854 6.1580 4.0425 -5.2723 2.2043 -4.7734 -2.3707 -1.6398 1.8613" Properties=species:S:1:pos:R:3 pbc="T T T"
Mg 0.0000 0.0000 0.0000
Mg -3.1789 4.1811 -0.3654
Ti -4.8690 1.6600 -1.5764
Ti -6.3106 5.1148 -0.3689
Ti -3.8594 5.0625 2.7069
Ti -2.4179 1.6077 1.4995
Ta -4.9952 4.2050 -2.6578
Ta -4.2615 6.7503 0.5191
Ta -1.3625 4.1573 1.9270
Ta -2.0963 1.6120 -1.2499
```

Output
**Formation enthalpy at 0 K**: 1.5 eV per formula unit
**Relative energy among the computed polymorphs**: 38 meV per atom
**V**: 190.2 Å³/cell
**Symmetry**: P4/mbm, No. 127

=====

no.,electronic total energy (Ry/atom)
1,-0.2815
2,-0.4770
3,-0.5268
4,-0.5241
5,-0.5078
6,-0.2446
7,-0.4879
8,-0.5824